14
Lattice="-3.095 3.108 5.426 3.095 -3.108 5.426 3.095 3.108 -5.426" Properties=species:S:1:pos:R:3 comment="NaSnAuO4, relaxed, DFT PBE-GGA" vol_a3_per_cell=208.8 magnetic_moment_mub_per_cell=0.00 e_form_raw_ev_per_atom=-1.07 pbc="T T T"
Na 0.000 1.554 1.160
Na 3.095 1.554 4.265
Sn 1.547 1.554 -2.713
Sn 1.547 -1.554 2.713
Au 3.095 0.000 0.000
Au 0.000 0.000 5.426
O 3.095 2.906 -2.883
O 1.795 1.554 -0.446
O 4.395 1.554 -0.446
O 3.095 -0.202 2.883
O 0.000 3.310 2.542
O -1.300 1.554 5.872
O 1.300 1.554 5.872
O 0.000 0.202 8.309



10
Lattice="3.525 2.035 6.162 -3.525 2.035 6.162 0.000 -4.070 6.162" Properties=species:S:1:pos:R:3 comment="Ce2YTmS6, relaxed, DFT PBE-GGA" vol_a3_per_cell=265.2 magnetic_moment_mub_per_cell=2.01 e_form_raw_ev_per_atom=-1.99 pbc="T T T"
Ce 0.000 0.000 0.000
Ce 0.000 0.000 9.229
Y 0.000 0.000 3.798
Tm 0.000 0.000 13.022
S -1.187 -2.329 8.141
S -2.073 0.130 11.236
S -1.424 2.193 8.141
S 0.924 -1.861 11.236
S 2.611 0.136 8.141
S 1.149 1.731 11.236



20
Lattice="6.874 0.000 0.000 0.000 7.330 0.000 -6.856 0.000 9.909" Properties=species:S:1:pos:R:3 comment="Ca6AsP2N, relaxed, DFT PBE-GGA" vol_a3_per_cell=499.3 magnetic_moment_mub_per_cell=0.00 e_form_raw_ev_per_atom=-1.03 pbc="T T T"
Ca -0.886 0.465 2.278
Ca -4.313 3.200 7.233
Ca 1.167 5.212 0.725
Ca -2.261 5.784 5.679
Ca 1.993 1.267 0.588
Ca -1.434 2.398 5.543
Ca 1.453 4.932 4.367
Ca -1.975 6.063 9.321
Ca 2.279 1.547 4.230
Ca -1.149 2.118 9.185
Ca 4.332 4.130 2.677
Ca 0.904 6.865 7.631
As 0.009 0.000 4.955
As 3.437 3.665 0.000
P -3.267 0.526 7.472
P 0.161 3.139 2.517
P -0.143 4.191 7.392
P 3.285 6.804 2.438
N 0.000 0.000 0.000
N -3.428 3.665 4.955



24
Lattice="3.510 -6.520 0.000 3.510 6.520 0.000 -1.552 0.000 15.080" Properties=species:S:1:pos:R:3 comment="K2PS3, relaxed, DFT PBE-GGA" vol_a3_per_cell=690.2 magnetic_moment_mub_per_cell=0.00 e_form_raw_ev_per_atom=-0.84 pbc="T T T"
K 1.044 2.493 5.161
K 0.319 1.371 13.945
K 1.095 -1.371 6.405
K 0.268 -2.493 12.701
K 5.200 2.493 2.379
K 4.373 1.371 8.675
K 5.149 -1.371 1.135
K 4.424 -2.493 9.919
P 1.557 -0.002 2.467
P 0.781 0.002 10.007
P 4.687 -0.002 5.073
P 3.910 0.002 12.613
S 3.122 6.404 3.770
S 0.860 1.222 8.346
S 2.029 1.953 2.043
S 1.636 -1.222 0.806
S 2.346 0.966 11.310
S 1.253 -1.953 9.583
S 4.214 1.953 5.497
S 3.122 -0.966 3.770
S 3.832 1.222 14.273
S 3.438 -1.953 13.037
S 4.608 -1.222 6.734
S 2.346 -6.404 11.310



18
Lattice="3.155 1.821 8.950 -3.155 1.821 8.950 0.000 -3.643 8.950" Properties=species:S:1:pos:R:3 comment="Sr2Ga3Cu12Ni, relaxed, DFT PBE-GGA" vol_a3_per_cell=308.6 e_form_ev_per_fu=2.1 magnetic_moment_mub_per_cell=0.00 pbc="T T T"
Sr 0.000 0.000 4.160
Sr 0.000 0.000 22.689
Ga -1.577 -0.911 8.950
Ga -1.577 0.911 17.899
Ga 0.000 1.821 8.950
Cu 0.000 -2.232 7.630
Cu -1.933 1.116 7.630
Cu -1.243 -0.718 11.451
Cu -1.933 -1.116 19.219
Cu 0.000 -1.436 15.399
Cu -1.243 0.718 15.399
Cu 1.243 -0.718 11.451
Cu 0.000 1.436 11.451
Cu 1.933 1.116 7.630
Cu 1.243 0.718 15.399
Cu 1.933 -1.116 19.219
Cu 0.000 2.232 19.219
Ni 0.000 0.000 13.425



18
Lattice="5.465 0.000 0.000 -2.732 4.733 0.000 0.000 0.000 9.615" Properties=species:S:1:pos:R:3 comment="NaZnIrF6, relaxed, DFT PBE-GGA" vol_a3_per_cell=248.7 magnetic_moment_mub_per_cell=0.32 e_form_raw_ev_per_atom=-1.99 pbc="T T T"
Na 0.000 0.000 0.000
Na 0.000 0.000 4.807
Zn 0.000 3.155 2.404
Zn 2.732 1.578 7.211
Ir 0.000 3.155 7.211
Ir 2.732 1.578 2.404
F -0.939 1.684 6.159
F -1.743 3.077 8.263
F 0.939 1.684 8.263
F -0.804 4.704 6.159
F 1.928 0.029 1.352
F 0.989 1.656 3.456
F 1.743 3.077 6.159
F 0.804 4.704 8.263
F 3.536 0.029 3.456
F 1.793 3.048 1.352
F 4.476 1.656 1.352
F 3.672 3.048 3.456



12
Lattice="5.959 0.000 0.000 0.000 3.631 0.000 -1.028 0.000 19.199" Properties=species:S:1:pos:R:3 comment="Pm7Pr3Ho2, relaxed, DFT PBE-GGA" vol_a3_per_cell=415.4 e_form_ev_per_fu=1.0 magnetic_moment_mub_per_cell=0.00 pbc="T T T"
Pm 0.000 0.000 0.000
Pm 0.942 1.815 3.458
Pm 0.980 1.815 10.289
Pm 0.985 0.000 16.405
Pm 3.947 0.000 2.794
Pm 3.952 1.815 8.909
Pm 3.989 1.815 15.740
Pr 0.933 0.000 7.027
Pr 2.980 1.815 0.000
Pr 3.999 0.000 12.172
Ho 1.000 1.815 13.538
Ho 3.932 1.815 5.661



3
Lattice="0.000 3.449 3.449 3.449 0.000 3.449 3.449 3.449 0.000" Properties=species:S:1:pos:R:3 comment="PrBiPd, relaxed, DFT PBE-GGA" vol_a3_per_cell=82.0 e_form_ev_per_fu=-2.8 magnetic_moment_mub_per_cell=0.00 pbc="T T T"
Pr 0.000 0.000 0.000
Bi 3.449 3.449 3.449
Pd 5.173 5.173 5.173



6
Lattice="0.000 3.669 3.669 3.669 0.000 3.669 3.669 3.669 0.000" Properties=species:S:1:pos:R:3 comment="HfRu2, relaxed, DFT PBE-GGA" vol_a3_per_cell=98.7 e_form_ev_per_fu=-1.1 magnetic_moment_mub_per_cell=0.00 pbc="T T T"
Hf 0.917 0.917 0.917
Hf 6.420 6.420 6.420
Ru 3.669 1.834 1.834
Ru 1.834 3.669 1.834
Ru 1.834 1.834 3.669
Ru 3.669 3.669 3.669



5
Lattice="5.942 0.000 0.000 0.000 5.942 0.000 0.000 0.000 5.942" Properties=species:S:1:pos:R:3 comment="RbTiBi3, relaxed, DFT PBE-GGA" vol_a3_per_cell=209.8 e_form_ev_per_fu=8.4 magnetic_moment_mub_per_cell=0.29 pbc="T T T"
Rb 0.000 0.000 0.000
Ti 2.971 2.971 2.971
Bi 0.000 0.000 2.971
Bi 0.000 2.971 0.000
Bi 2.971 0.000 0.000



12
Lattice="-4.419 4.419 5.887 4.419 -4.419 5.887 4.419 4.419 -5.887" Properties=species:S:1:pos:R:3 comment="La8YTm3, relaxed, DFT PBE-GGA" vol_a3_per_cell=459.9 e_form_ev_per_fu=6.5 magnetic_moment_mub_per_cell=0.00 pbc="T T T"
La 3.326 3.326 -2.965
La 2.196 2.196 -0.046
La 2.224 -2.224 5.933
La 1.094 1.094 2.922
La 1.094 -1.094 8.852
La 2.224 2.224 5.841
La -2.224 2.224 5.933
La -1.094 1.094 8.852
Y 0.000 0.000 5.887
Tm 0.000 0.000 0.000
Tm 4.419 0.000 2.943
Tm 0.000 4.419 2.943



4
Lattice="-1.848 1.848 3.845 1.848 -1.848 3.845 1.848 1.848 -3.845" Properties=species:S:1:pos:R:3 comment="FeCuTc2, relaxed, DFT PBE-GGA" vol_a3_per_cell=52.5 e_form_ev_per_fu=0.7 magnetic_moment_mub_per_cell=1.95 pbc="T T T"
Fe 0.000 0.000 0.000
Cu 0.000 0.000 3.845
Tc 1.848 0.000 1.922
Tc 0.000 1.848 1.922